# 1
! PrSmGdHg, optimized geometry, DFT PBE-GGA; values from VASP
&SYSTEM
  ibrav = 0, nat = 16, ntyp = 4
/
ATOMIC_SPECIES
Pr 140.91 Pr.upf
Sm 150.36 Sm.upf
Gd 157.25 Gd.upf
Hg 200.59 Hg.upf
CELL_PARAMETERS angstrom
7.804 0.000 0.000
0.000 7.804 0.000
0.000 0.000 7.804
ATOMIC_POSITIONS crystal
Pr 0.000 0.000 0.000
Pr 0.000 0.500 0.500
Pr 0.500 0.000 0.500
Pr 0.500 0.500 0.000
Sm 0.000 0.000 0.500
Sm 0.000 0.500 0.000
Sm 0.500 0.000 0.000
Sm 0.500 0.500 0.500
Gd 0.250 0.250 0.250
Gd 0.250 0.750 0.750
Gd 0.750 0.250 0.750
Gd 0.750 0.750 0.250
Hg 0.250 0.250 0.750
Hg 0.250 0.750 0.250
Hg 0.750 0.250 0.250
Hg 0.750 0.750 0.750
! Energy of formation (eV/atom): -0.088
! DFT total energy (eV per atom): -6.06
! Symmetry: F-43m

# 2
! PrGdSnHg, optimized geometry, DFT PBE-GGA; values from VASP
&SYSTEM
  ibrav = 0, nat = 16, ntyp = 4
/
ATOMIC_SPECIES
Pr 140.91 Pr.upf
Gd 157.25 Gd.upf
Sn 118.71 Sn.upf
Hg 200.59 Hg.upf
CELL_PARAMETERS angstrom
7.664 0.000 0.000
0.000 7.664 0.000
0.000 0.000 7.664
ATOMIC_POSITIONS crystal
Pr 0.000 0.000 0.000
Pr 0.000 0.500 0.500
Pr 0.500 0.000 0.500
Pr 0.500 0.500 0.000
Gd 0.000 0.000 0.500
Gd 0.000 0.500 0.000
Gd 0.500 0.000 0.000
Gd 0.500 0.500 0.500
Sn 0.250 0.250 0.750
Sn 0.250 0.750 0.250
Sn 0.750 0.250 0.250
Sn 0.750 0.750 0.750
Hg 0.250 0.250 0.250
Hg 0.250 0.750 0.750
Hg 0.750 0.250 0.750
Hg 0.750 0.750 0.250
! Energy of formation (eV/atom): -0.595
! DFT total energy (eV per atom): -6.39
! Symmetry: F-43m

# 3
! TbPrGdHg, optimized geometry, DFT PBE-GGA; values from VASP
&SYSTEM
  ibrav = 0, nat = 16, ntyp = 4
/
ATOMIC_SPECIES
Tb 158.93 Tb.upf
Pr 140.91 Pr.upf
Gd 157.25 Gd.upf
Hg 200.59 Hg.upf
CELL_PARAMETERS angstrom
7.787 0.000 0.000
0.000 7.787 0.000
0.000 0.000 7.787
ATOMIC_POSITIONS crystal
Tb 0.000 0.000 0.000
Tb 0.000 0.500 0.500
Tb 0.500 0.000 0.500
Tb 0.500 0.500 0.000
Pr 0.250 0.250 0.750
Pr 0.250 0.750 0.250
Pr 0.750 0.250 0.250
Pr 0.750 0.750 0.750
Gd 0.250 0.250 0.250
Gd 0.250 0.750 0.750
Gd 0.750 0.250 0.750
Gd 0.750 0.750 0.250
Hg 0.000 0.000 0.500
Hg 0.000 0.500 0.000
Hg 0.500 0.000 0.000
Hg 0.500 0.500 0.500
! Energy of formation (eV/atom): -0.071
! DFT total energy (eV per atom): -6.02
! Symmetry: F-43m